No. 1
{
  "formula": "BeP2CO",
  "functional": "GGA-PBE",
  "state": "optimized geometry",
  "lattice_angstrom": [[-3.958, 0.050, 1.527], [0.034, -4.236, 0.225], [1.098, 0.159, 2.840]],
  "species": ["P", "Be", "P", "C", "O"],
  "frac_coords": [[0.000, 0.500, 0.000], [0.500, 0.500, 0.500], [0.500, 0.000, 0.000], [0.000, 0.000, 0.000], [0.000, 0.000, 0.500]],
  "dos_ef_per_ev_cell": 1.7,
  "magmom_total_mub_per_cell": 0.00,
  "raw_formation_energy_ev_per_atom": 1.081,
  "crystal_system": "tetragonal",
  "final_energy_ev_per_atom": -4.665
}

=====

No. 2
{
  "formula": "BeP2CO",
  "functional": "GGA-PBE",
  "state": "optimized geometry",
  "lattice_angstrom": [[4.573, 0.000, 0.000], [0.000, 4.573, 0.000], [0.000, 0.000, 2.880]],
  "species": ["P", "P", "O", "C", "Be"],
  "frac_coords": [[0.500, 0.000, 0.000], [0.000, 0.500, 0.000], [0.000, 0.000, 0.500], [0.500, 0.500, 0.500], [0.000, 0.000, 0.000]],
  "dos_ef_per_ev_cell": 1.5,
  "magmom_total_mub_per_cell": 0.00,
  "raw_formation_energy_ev_per_atom": 1.026,
  "crystal_system": "tetragonal",
  "final_energy_ev_per_atom": -4.720
}